# 1
First-principles (PBE-GGA) data for an optimized crystal structure of ThAgSbAu, as listed in the Alexandria database.

a = 7.285 Å, b = 7.285 Å, c = 7.285 Å
α = 90.00°, β = 90.00°, γ = 90.00°
Space group F-43m (No. 216)
Symmetry-distinct sites (fractional):
1 Th 0.000 0.000 0.000 [4 per cell]
2 Ag 0.000 0.000 0.500 [4 per cell]
3 Sb 0.250 0.250 0.750 [4 per cell]
4 Au 0.250 0.250 0.250 [4 per cell]

Summary:
* magnetization: 0.00 μB/cell
* formation energy from raw total energies: -407 meV/atom

=====

# 2
First-principles (PBE-GGA) data for an optimized crystal structure of Ga2Cu2Ge, as listed in the Alexandria database.

a = 3.726 Å, b = 3.726 Å, c = 11.664 Å
α = 90.00°, β = 90.00°, γ = 90.00°
Space group I4/mmm (No. 139)
Symmetry-distinct sites (fractional):
1 Ga 0.000 0.500 0.250 [4 per cell]
2 Cu 0.000 0.000 0.102 [4 per cell]
3 Ge 0.000 0.000 0.500 [2 per cell]

Summary:
* magnetization: 0.00 μB/cell
* excess energy over the best structure of this formula in the dataset: 51 meV per atom
* formation energy: 0.13 eV per atom

=====

Which formula does entry 1 have? ThAgSbAu